Entry 1:
! Pr2NiB10 GGA-PBE relaxed; values from VASP
&SYSTEM
  ibrav = 0, nat = 26, ntyp = 3
/
ATOMIC_SPECIES
Pr 140.91 Pr.upf
Ni 58.69 Ni.upf
B 10.81 B.upf
CELL_PARAMETERS angstrom
-0.360 -1.744 -3.812
5.544 0.736 -0.860
2.038 -10.146 4.449
ATOMIC_POSITIONS crystal
Pr 0.500 0.190 0.363
Pr 0.500 0.810 0.637
Pr 0.500 0.310 0.863
Pr 0.500 0.690 0.137
Ni 0.000 0.000 0.000
Ni 0.000 0.500 0.500
B 0.000 0.374 0.042
B 0.000 0.626 0.958
B 0.000 0.126 0.542
B 0.000 0.874 0.458
B 0.000 0.343 0.197
B 0.000 0.657 0.803
B 0.000 0.157 0.697
B 0.000 0.843 0.303
B 0.000 0.035 0.188
B 0.000 0.965 0.812
B 0.000 0.465 0.688
B 0.000 0.535 0.312
B 0.300 0.201 0.114
B 0.700 0.799 0.886
B 0.300 0.799 0.886
B 0.700 0.299 0.614
B 0.700 0.201 0.114
B 0.300 0.701 0.386
B 0.700 0.701 0.386
B 0.300 0.299 0.614
! **ΔE_f**: -522 meV per atom
! **Space group**: Pbam
! **Uncorrected energy**: -6.839 eV/atom
! **DOS at the Fermi energy**: 0.176 states/eV per atom

***

Entry 2:
! VCuMo GGA-PBE relaxed; values from VASP
&SYSTEM
  ibrav = 0, nat = 3, ntyp = 3
/
ATOMIC_SPECIES
Mo 95.94 Mo.upf
Cu 63.55 Cu.upf
V 50.94 V.upf
CELL_PARAMETERS angstrom
-2.287 0.908 -0.157
-1.544 -3.504 2.225
1.288 3.624 2.194
ATOMIC_POSITIONS crystal
Mo 0.986 0.000 0.000
Cu 0.380 0.333 0.667
V 0.634 0.667 0.333
! **ΔE_f**: 174 meV per atom
! **Space group**: P3m1
! **Uncorrected energy**: -7.841 eV/atom
! **DOS at the Fermi energy**: 0.761 states/eV per atom
! **E above lowest polymorph**: 0.0497 eV per atom

***

Entry 3:
! Y2ErHf GGA-PBE relaxed; values from VASP
&SYSTEM
  ibrav = 0, nat = 4, ntyp = 3
/
ATOMIC_SPECIES
Y 88.91 Y.upf
Hf 178.49 Hf.upf
Er 167.26 Er.upf
CELL_PARAMETERS angstrom
-4.791 0.620 -0.367
-0.710 -3.610 3.161
0.132 3.180 3.660
ATOMIC_POSITIONS crystal
Y 0.000 0.000 0.500
Y 0.000 0.500 0.000
Hf 0.500 0.000 0.000
Er 0.500 0.500 0.500
! **ΔE_f**: 152 meV per atom
! **Space group**: P4/mmm
! **Uncorrected energy**: -6.709 eV/atom
! **DOS at the Fermi energy**: 1.330 states/eV per atom
! **E above lowest polymorph**: 0.0324 eV per atom

***

Entry 4:
! Bi3SbS6 GGA-PBE relaxed; values from VASP
&SYSTEM
  ibrav = 0, nat = 20, ntyp = 3
/
ATOMIC_SPECIES
Bi 208.98 Bi.upf
Sb 121.76 Sb.upf
S 32.06 S.upf
CELL_PARAMETERS angstrom
-6.916 1.292 0.364
-1.082 -7.232 5.096
1.523 6.483 5.924
ATOMIC_POSITIONS crystal
Bi 0.452 0.919 0.694
Bi 0.952 0.694 0.919
Bi 0.437 0.394 0.606
Bi 0.937 0.606 0.394
Bi 0.952 0.081 0.306
Bi 0.452 0.306 0.081
Sb 0.016 0.169 0.831
Sb 0.516 0.831 0.169
S 0.172 0.696 0.645
S 0.672 0.645 0.696
S 0.186 0.422 0.898
S 0.686 0.898 0.422
S 0.274 0.025 0.975
S 0.638 0.231 0.769
S 0.138 0.769 0.231
S 0.774 0.975 0.025
S 0.186 0.102 0.578
S 0.686 0.578 0.102
S 0.172 0.355 0.304
S 0.672 0.304 0.355
! **Space group**: Cmc2_1
! **Uncorrected energy**: -4.311 eV/atom
! **E above lowest polymorph**: 0.0537 eV per atom
! **Energy relative to the elements, uncorrected**: -258 meV per atom

***

Entry 5:
! Sc2TlTe GGA-PBE relaxed; values from VASP
&SYSTEM
  ibrav = 0, nat = 4, ntyp = 3
/
ATOMIC_SPECIES
Sc 44.96 Sc.upf
Te 127.60 Te.upf
Tl 204.38 Tl.upf
CELL_PARAMETERS angstrom
-0.204 -3.063 1.838
2.045 1.412 2.574
-6.151 2.514 3.507
ATOMIC_POSITIONS crystal
Sc 0.000 0.000 0.018
Sc 0.000 0.000 0.482
Te 0.500 0.500 0.250
Tl 0.500 0.500 0.750
! **Space group**: P4/mmm
! **Uncorrected energy**: -5.060 eV/atom
! **DOS at the Fermi energy**: 1.032 states/eV per atom
! **E above lowest polymorph**: 0.1318 eV per atom
! **Energy relative to the elements, uncorrected**: -517 meV per atom

***

Entry 6:
! Ca3PrAu2 GGA-PBE relaxed; values from VASP
&SYSTEM
  ibrav = 0, nat = 12, ntyp = 3
/
ATOMIC_SPECIES
Ca 40.08 Ca.upf
Pr 140.91 Pr.upf
Au 196.97 Au.upf
CELL_PARAMETERS angstrom
-3.146 -3.663 -0.801
5.442 -3.935 -3.378
2.382 -3.871 8.347
ATOMIC_POSITIONS crystal
Ca 0.000 0.479 0.918
Ca 0.000 0.979 0.082
Ca 0.500 0.646 0.176
Ca 0.500 0.146 0.824
Ca 0.000 0.355 0.320
Ca 0.000 0.855 0.680
Pr 0.500 0.518 0.578
Pr 0.500 0.018 0.422
Au 0.500 0.741 0.858
Au 0.500 0.241 0.142
Au 0.000 0.261 0.635
Au 0.000 0.761 0.365
! **ΔE_f**: -573 meV per atom
! **Space group**: Pmc2_1
! **Uncorrected energy**: -3.463 eV/atom
! **DOS at the Fermi energy**: 1.034 states/eV per atom

***

Q: Among the records above, which one has the highest uncorrected energy?
A: Ca3PrAu2

***

What did the fifth record say?
! Sc2TlTe GGA-PBE relaxed; values from VASP
&SYSTEM
  ibrav = 0, nat = 4, ntyp = 3
/
ATOMIC_SPECIES
Sc 44.96 Sc.upf
Te 127.60 Te.upf
Tl 204.38 Tl.upf
CELL_PARAMETERS angstrom
-0.204 -3.063 1.838
2.045 1.412 2.574
-6.151 2.514 3.507
ATOMIC_POSITIONS crystal
Sc 0.000 0.000 0.018
Sc 0.000 0.000 0.482
Te 0.500 0.500 0.250
Tl 0.500 0.500 0.750
! **Space group**: P4/mmm
! **Uncorrected energy**: -5.060 eV/atom
! **DOS at the Fermi energy**: 1.032 states/eV per atom
! **E above lowest polymorph**: 0.1318 eV per atom
! **Energy relative to the elements, uncorrected**: -517 meV per atom

***

Q: Which of these has the lowest uncorrected energy?
A: VCuMo

***

What did the sixth record say?
! Ca3PrAu2 GGA-PBE relaxed; values from VASP
&SYSTEM
  ibrav = 0, nat = 12, ntyp = 3
/
ATOMIC_SPECIES
Ca 40.08 Ca.upf
Pr 140.91 Pr.upf
Au 196.97 Au.upf
CELL_PARAMETERS angstrom
-3.146 -3.663 -0.801
5.442 -3.935 -3.378
2.382 -3.871 8.347
ATOMIC_POSITIONS crystal
Ca 0.000 0.479 0.918
Ca 0.000 0.979 0.082
Ca 0.500 0.646 0.176
Ca 0.500 0.146 0.824
Ca 0.000 0.355 0.320
Ca 0.000 0.855 0.680
Pr 0.500 0.518 0.578
Pr 0.500 0.018 0.422
Au 0.500 0.741 0.858
Au 0.500 0.241 0.142
Au 0.000 0.261 0.635
Au 0.000 0.761 0.365
! **ΔE_f**: -573 meV per atom
! **Space group**: Pmc2_1
! **Uncorrected energy**: -3.463 eV/atom
! **DOS at the Fermi energy**: 1.034 states/eV per atom